Record 1
Density functional theory data (PBE) for a geometry-optimized NdMg2GaPd4 structure.

For the uncorrected energy, the calculation gives -4.656 eV per atom. Its space group is No. 166. Its formation energy is -687 meV/atom. Its mass density is 7.8 Mg/m³.

abc: 4.4722 4.4722 8.8884
angles: 75.43 75.43 60.00
Closest atoms and distances in Å follow each position.
Sites, in units of the cell vectors:
Nd: 0.0000 0.0000 0.0000  8 Pd 3.10-3.37
Mg: 0.7607 0.7607 0.7179  7 Pd 2.67-2.76
Mg: 0.2393 0.2393 0.2821  7 Pd 2.67-2.76
Ga: 0.5000 0.5000 0.5000  8 Pd 2.54-2.73
Pd: 0.4005 0.4005 0.7986  1 Ga 2.54, 3 Mg 2.67
Pd: 0.8680 0.8680 0.3961  3 Ga 2.73, 4 Mg 2.74-2.76
Pd: 0.1320 0.1320 0.6039  3 Ga 2.73, 4 Mg 2.74-2.76
Pd: 0.5995 0.5995 0.2014  1 Ga 2.54, 3 Mg 2.67

Record 2
Density functional theory data (PBE) for a geometry-optimized TlAs2Rh2 structure.

The value obtained for the energy above the most stable polymorph in this dataset is 0 meV per atom. For the uncorrected energy, the calculation gives -5.654 eV per atom. Its space group is No. 139. Its formation energy is -381 meV/atom. Its mass density is 8.6 Mg/m³.

abc: 4.0291 4.0291 7.2534
angles: 73.87 73.87 90.00
Closest atoms and distances in Å follow each position.
Sites, in units of the cell vectors:
Tl: 0.0000 0.0000 0.0000  8 As 3.45
Rh: 0.7500 0.2500 0.5000  4 As 2.45
Rh: 0.2500 0.7500 0.5000  4 As 2.45
As: 0.3547 0.3547 0.2905  4 Rh 2.45
As: 0.6453 0.6453 0.7095  4 Rh 2.45

Record 3
Density functional theory data (PBE) for a geometry-optimized Sr2ZnNiIr structure.

For the uncorrected energy, the calculation gives -3.475 eV per atom. Its space group is No. 123. Its formation energy is 381 meV/atom. Its mass density is 6.2 Mg/m³.

abc: 5.4333 4.4419 5.4333
angles: 90.00 90.00 90.00
Closest atoms and distances in Å follow each position.
Sites, in units of the cell vectors:
Sr: 0.0000 0.0000 0.5000  2 Ni 2.72
Sr: 0.5000 0.0000 0.0000  2 Ni 2.72
Zn: 0.0000 0.5000 0.0000  2 Ni 2.22
Ir: 0.5000 0.5000 0.5000  8 Sr 3.51, 4 Zn 3.84
Ni: 0.0000 0.0000 0.0000  2 Zn 2.22

Record 4
Density functional theory data (PBE) for a geometry-optimized Ba8Sb6S17 structure.

For the uncorrected energy, the calculation gives -4.815 eV per atom. Its space group is No. 13. Its mass density is 4.2 Mg/m³.

abc: 14.0530 11.6231 22.8944
angles: 88.88 90.00 90.00
Closest atoms and distances in Å follow each position.
Sites, in units of the cell vectors:
Ba: 0.8437 0.7547 0.9316  6 S 3.18-3.49
Ba: 0.1563 0.7547 0.4316  6 S 3.18-3.49
Ba: 0.3432 0.0000 0.7500  6 S 3.13-3.26
Ba: 0.4959 0.2417 0.1009  8 S 3.20-3.56
Ba: 0.5157 0.8004 0.6191  8 S 3.20-3.43
Ba: 0.5157 0.1996 0.8809  8 S 3.20-3.43
Ba: 0.5041 0.7583 0.8991  8 S 3.20-3.56
Ba: 0.1607 0.1771 0.8836  6 S 3.18-3.49
Ba: 0.4843 0.1996 0.3809  8 S 3.20-3.43
Ba: 0.4825 0.5000 0.7500  8 S 3.36-3.56
Ba: 0.8393 0.1771 0.3836  6 S 3.18-3.49
Ba: 0.8410 0.1402 0.8849  6 S 3.12-3.44
Ba: 0.1607 0.8229 0.6164  6 S 3.18-3.49
Ba: 0.1590 0.8598 0.1151  6 S 3.12-3.44
Ba: 0.4959 0.7583 0.3991  8 S 3.20-3.56
Ba: 0.1633 0.5000 0.7500  10 S 3.40-3.79
Ba: 0.8367 0.5000 0.2500  10 S 3.40-3.79
Ba: 0.1700 0.7727 0.9107  7 S 3.19-3.48
Ba: 0.1590 0.1402 0.3849  6 S 3.12-3.44
Ba: 0.4843 0.8004 0.1191  8 S 3.20-3.43
Ba: 0.8437 0.2453 0.5684  6 S 3.18-3.49
Ba: 0.1553 0.5000 0.2500  8 S 3.24-3.38
Ba: 0.1563 0.2453 0.0684  6 S 3.18-3.49
Ba: 0.6568 0.0000 0.2500  6 S 3.13-3.26
Ba: 0.8410 0.8598 0.6151  6 S 3.12-3.44
Ba: 0.8393 0.8229 0.1164  6 S 3.18-3.49
Ba: 0.5175 0.5000 0.2500  8 S 3.36-3.56
Ba: 0.5041 0.2417 0.6009  8 S 3.20-3.56
Ba: 0.1700 0.2273 0.5893  7 S 3.19-3.48
Ba: 0.8300 0.2273 0.0893  7 S 3.19-3.48
Ba: 0.8300 0.7727 0.4107  7 S 3.19-3.48
Ba: 0.8447 0.5000 0.7500  8 S 3.24-3.38
Sb: 0.3101 0.4374 0.4235  3 S 2.45-2.48
Sb: 0.0158 0.4304 0.4251  3 S 2.45-2.48
Sb: 0.9982 0.8405 0.2804  3 S 2.43-2.48
Sb: 0.3321 0.4618 0.9092  4 S 2.44-2.74
Sb: 0.3477 0.0196 0.9942  3 S 2.43-2.52
Sb: 0.9982 0.1595 0.2196  3 S 2.43-2.48
Sb: 0.3101 0.5626 0.0765  3 S 2.45-2.48
Sb: 0.3223 0.1540 0.2223  3 S 2.44-2.51
Sb: 0.0158 0.5696 0.0749  3 S 2.45-2.48
Sb: 0.6899 0.4374 0.9235  3 S 2.45-2.48
Sb: 0.6679 0.4618 0.4092  4 S 2.44-2.74
Sb: 0.6679 0.5382 0.0908  4 S 2.44-2.74
Sb: 0.9842 0.5696 0.5749  3 S 2.45-2.48
Sb: 0.3223 0.8460 0.2777  3 S 2.44-2.51
Sb: 0.6523 0.9804 0.0058  3 S 2.43-2.52
Sb: 0.9842 0.4304 0.9251  3 S 2.45-2.48
Sb: 0.6777 0.1540 0.7223  3 S 2.44-2.51
Sb: 0.6777 0.8460 0.7777  3 S 2.44-2.51
Sb: 0.6523 0.0196 0.4942  3 S 2.43-2.52
Sb: 0.0018 0.8405 0.7804  3 S 2.43-2.48
Sb: 0.3477 0.9804 0.5058  3 S 2.43-2.52
Sb: 0.6899 0.5626 0.5765  3 S 2.45-2.48
Sb: 0.3321 0.5382 0.5908  4 S 2.44-2.74
Sb: 0.0018 0.1595 0.7196  3 S 2.43-2.48
S: 0.8463 0.5430 0.0475  2 Sb 2.48-2.70
S: 0.3352 0.2647 0.4857  1 Sb 2.46
S: 0.0030 0.0462 0.6291  1 Sb 2.48
S: 0.9938 0.6539 0.8339  1 Sb 2.47
S: 0.1753 0.9923 0.5028  1 Sb 2.43
S: 0.6436 0.0188 0.1136  1 Sb 2.52
S: 0.7125 0.3350 0.8322  1 Sb 2.45
S: 0.0232 0.7543 0.0208  1 Sb 2.46
S: 0.8247 0.9923 0.0028  1 Sb 2.43
S: 0.1709 0.1753 0.7395  1 Sb 2.43
S: 0.2875 0.3350 0.3322  1 Sb 2.45
S: 0.3379 0.9655 0.3671  1 Sb 2.51
S: 0.6429 0.2315 0.4873  1 Sb 2.47
S: 0.2875 0.6650 0.1678  1 Sb 2.45
S: 0.2928 0.3336 0.1687  1 Sb 2.44
S: 0.3249 0.6691 0.6729  1 Sb 2.44
S: 0.6621 0.9655 0.8671  1 Sb 2.51
S: 0.4913 0.1962 0.2412  1 Sb 2.46
S: 0.3249 0.3309 0.8271  1 Sb 2.44
S: 0.9938 0.3461 0.6661  1 Sb 2.47
S: 0.5244 0.4848 0.8944  2 Sb 2.48-2.74
S: 0.3352 0.7353 0.0143  1 Sb 2.46
S: 0.5087 0.8038 0.7588  1 Sb 2.46
S: 0.0232 0.2457 0.4792  1 Sb 2.46
S: 0.3220 0.3741 0.6594  1 Sb 2.45
S: 0.6648 0.7353 0.5143  1 Sb 2.46
S: 0.6751 0.6691 0.1729  1 Sb 2.44
S: 0.8291 0.1753 0.2395  1 Sb 2.43
S: 0.0062 0.3461 0.1661  1 Sb 2.47
S: 0.0018 0.3406 0.3295  1 Sb 2.45
S: 0.5244 0.5152 0.6056  2 Sb 2.48-2.74
S: 0.2928 0.6664 0.3313  1 Sb 2.44
S: 0.1753 0.0077 0.9972  1 Sb 2.43
S: 0.6648 0.2647 0.9857  1 Sb 2.46
S: 0.7072 0.6664 0.8313  1 Sb 2.44
S: 0.6780 0.3741 0.1594  1 Sb 2.45
S: 0.1537 0.4570 0.9525  2 Sb 2.48-2.70
S: 0.8463 0.4570 0.4525  2 Sb 2.48-2.70
S: 0.6751 0.3309 0.3271  1 Sb 2.44
S: 0.4756 0.5152 0.1056  2 Sb 2.48-2.74
S: 0.9768 0.7543 0.5208  1 Sb 2.46
S: 0.3571 0.2315 0.9873  1 Sb 2.47
S: 0.3571 0.7685 0.5127  1 Sb 2.47
S: 0.1537 0.5430 0.5475  2 Sb 2.48-2.70
S: 0.9982 0.6594 0.6705  1 Sb 2.45
S: 0.3220 0.6259 0.8406  1 Sb 2.45
S: 0.5087 0.1962 0.7412  1 Sb 2.46
S: 0.0062 0.6539 0.3339  1 Sb 2.47
S: 0.8291 0.8247 0.2605  1 Sb 2.43
S: 0.9970 0.0462 0.1291  1 Sb 2.48
S: 0.6621 0.0345 0.6329  1 Sb 2.51
S: 0.1709 0.8247 0.7605  1 Sb 2.43
S: 0.8247 0.0077 0.4972  1 Sb 2.43
S: 0.3564 0.0188 0.6136  1 Sb 2.52
S: 0.6429 0.7685 0.0127  1 Sb 2.47
S: 0.9982 0.3406 0.8295  1 Sb 2.45
S: 0.9768 0.2457 0.9792  1 Sb 2.46
S: 0.4913 0.8038 0.2588  1 Sb 2.46
S: 0.3379 0.0345 0.1329  1 Sb 2.51
S: 0.6780 0.6259 0.3406  1 Sb 2.45
S: 0.4756 0.4848 0.3944  2 Sb 2.48-2.74
S: 0.6436 0.9812 0.3864  1 Sb 2.52
S: 0.7072 0.3336 0.6687  1 Sb 2.44
S: 0.0018 0.6594 0.1705  1 Sb 2.45
S: 0.7125 0.6650 0.6678  1 Sb 2.45
S: 0.9970 0.9538 0.3709  1 Sb 2.48
S: 0.3564 0.9812 0.8864  1 Sb 2.52
S: 0.0030 0.9538 0.8709  1 Sb 2.48

Record 5
Density functional theory data (PBE) for a geometry-optimized RbSr2CaHg structure.

For the uncorrected energy, the calculation gives -1.441 eV per atom. Its space group is No. 123. Its formation energy is -114 meV/atom. Its mass density is 3.2 Mg/m³.

abc: 6.4511 6.4511 6.2086
angles: 90.00 90.00 90.00
Closest atoms and distances in Å follow each position.
Sites, in units of the cell vectors:
Sr: 0.0000 0.5000 0.0000  2 Hg 3.23
Sr: 0.5000 0.0000 0.0000  2 Hg 3.23
Ca: 0.0000 0.0000 0.5000  2 Hg 3.10
Hg: 0.0000 0.0000 0.0000  2 Ca 3.10, 4 Sr 3.23
Rb: 0.5000 0.5000 0.5000  8 Sr 4.48, 4 Ca 4.56

Record 6
Density functional theory data (PBE) for a geometry-optimized SrCa3Ac8 structure.

For the uncorrected energy, the calculation gives -3.062 eV per atom. Its space group is No. 71. Its formation energy is 317 meV/atom. Its mass density is 5.6 Mg/m³.

abc: 9.7067 9.7067 9.7067
angles: 97.33 99.44 135.11
Closest atoms and distances in Å follow each position.
Sites, in units of the cell vectors:
Sr: 0.0000 0.0000 0.0000  8 Ac 3.72-3.85
Ca: 0.5000 0.7677 0.2677  10 Ac 4.18-4.63
Ca: 0.5000 0.2323 0.7323  10 Ac 4.18-4.63
Ca: 0.0000 0.5000 0.5000  8 Ac 3.57-3.81
Ac: 0.5054 0.2476 0.2581  1 Ca 3.57, 6 Ac 3.67-3.88, 1 Sr 3.72
Ac: 0.4946 0.7526 0.7421  1 Ca 3.57, 6 Ac 3.67-3.88, 1 Sr 3.72
Ac: 0.0105 0.7524 0.2579  1 Ca 3.57, 6 Ac 3.67-3.88, 1 Sr 3.72
Ac: 0.9895 0.2474 0.7419  1 Ca 3.57, 6 Ac 3.67-3.88, 1 Sr 3.72
Ac: 0.1672 0.2516 0.4192  7 Ac 3.81-4.25, 3 Ca 3.81-4.26, 1 Sr 3.85
Ac: 0.8328 0.2520 0.0844  7 Ac 3.81-4.25, 3 Ca 3.81-4.26, 1 Sr 3.85
Ac: 0.1675 0.7484 0.9156  7 Ac 3.81-4.25, 3 Ca 3.81-4.26, 1 Sr 3.85
Ac: 0.8325 0.7480 0.5808  7 Ac 3.81-4.25, 3 Ca 3.81-4.26, 1 Sr 3.85